The following is a DFT calculation (PBE) of an optimized crystal structure of InRhCl2.

Cell and atoms, written as POSCAR:
```
InRhCl2
1.0
1.789 1.033 8.891
-1.789 1.033 8.891
0.000 -2.066 8.891
In Rh Cl
1 1 2
Direct
0.000 0.000 0.000 In
0.500 0.500 0.500 Rh
0.114 0.114 0.114 Cl
0.886 0.886 0.886 Cl
```

## Properties
- ΔE to the lowest computed polymorph (meV per atom) = 298
- total magnetic moment (μB/cell) = 1.43
- raw formation energy (meV/atom) = -146
- space group = R-3m (166)

=====

The following is a DFT calculation (PBE) of an optimized crystal structure of La3Pm8Ho2.

Cell and atoms, written as POSCAR:
```
La3Pm8Ho2
1.0
10.297 -3.882 0.000
10.297 3.882 0.000
-0.009 0.000 5.796
La Pm Ho
3 8 2
Direct
0.000 0.000 0.000 La
0.294 0.706 0.500 La
0.706 0.294 0.500 La
0.137 0.137 0.498 Pm
0.182 0.600 0.000 Pm
0.324 0.324 0.498 Pm
0.400 0.818 0.000 Pm
0.600 0.182 0.000 Pm
0.676 0.676 0.502 Pm
0.818 0.400 0.000 Pm
0.863 0.863 0.502 Pm
0.241 0.241 0.997 Ho
0.759 0.759 0.003 Ho
```

## Properties
- ΔE to the lowest computed polymorph (meV per atom) = 75
- total magnetic moment (μB/cell) = 0.00
- space group = C2/m (12)

=====

The following is a DFT calculation (PBE) of an optimized crystal structure of SiCS2N.

Cell and atoms, written as POSCAR:
```
SiCS2N
1.0
5.732 0.000 0.000
0.000 5.732 0.000
0.000 0.000 2.425
Si C S N
1 1 2 1
Direct
0.000 0.000 0.000 Si
0.500 0.500 0.500 C
0.000 0.500 0.500 S
0.500 0.000 0.500 S
0.500 0.500 0.000 N
```

## Properties
- ΔE to the lowest computed polymorph (meV per atom) = 0
- total magnetic moment (μB/cell) = 0.00
- raw formation energy (meV/atom) = 872
- space group = P4/mmm (123)

=====

The following is a DFT calculation (PBE) of an optimized crystal structure of KSbBr2.

Cell and atoms, written as POSCAR:
```
KSbBr2
1.0
4.314 -4.430 0.000
4.314 4.430 0.000
-0.964 0.000 3.588
K Sb Br
1 1 2
Direct
0.000 0.000 0.000 K
0.500 0.500 0.000 Sb
0.000 0.500 0.000 Br
0.500 0.000 0.000 Br
```

## Properties
- ΔE to the lowest computed polymorph (meV per atom) = 105
- total magnetic moment (μB/cell) = 0.00
- raw formation energy (meV/atom) = -671
- space group = C2/m (12)

=====

The following is a DFT calculation (PBE) of an optimized crystal structure of VCrReGe.

Cell and atoms, written as POSCAR:
```
VCrReGe
1.0
0.000 3.015 3.015
3.015 0.000 3.015
3.015 3.015 0.000
V Cr Re Ge
1 1 1 1
Direct
0.000 0.000 0.000 V
0.250 0.250 0.250 Cr
0.750 0.750 0.750 Re
0.500 0.500 0.500 Ge
```

## Properties
- total magnetic moment (μB/cell) = 1.82
- energy (eV/atom) = -9.006
- space group = F-43m (216)

=====

The following is a DFT calculation (PBE) of an optimized crystal structure of AgBi2Te4Pb.

Cell and atoms, written as POSCAR:
```
AgBi2Te4Pb
1.0
7.791 0.000 0.000
0.000 4.499 0.000
-2.586 0.000 7.402
Ag Bi Te Pb
1 2 4 1
Direct
0.000 0.000 0.000 Ag
0.500 0.000 0.500 Bi
0.500 0.500 0.000 Bi
0.243 0.500 0.239 Te
0.249 0.000 0.759 Te
0.751 0.000 0.241 Te
0.757 0.500 0.761 Te
0.000 0.500 0.500 Pb
```

## Properties
- total magnetic moment (μB/cell) = 0.00
- raw formation energy (meV/atom) = -162
- space group = P2/m (10)

=====

The following is a DFT calculation (PBE) of an optimized crystal structure of CsAl2Ir.

Cell and atoms, written as POSCAR:
```
CsAl2Ir
1.0
0.000 3.509 3.509
3.509 0.000 3.509
3.509 3.509 0.000
Cs Al Ir
1 2 1
Direct
0.000 0.000 0.000 Cs
0.250 0.250 0.250 Al
0.750 0.750 0.750 Al
0.500 0.500 0.500 Ir
```

## Properties
- total magnetic moment (μB/cell) = 0.00
- energy (eV/atom) = -3.457
- space group = Fm-3m (225)

=====

The following is a DFT calculation (PBE) of an optimized crystal structure of Li2PtW.

Cell and atoms, written as POSCAR:
```
Li2PtW
1.0
-1.405 2.247 4.291
1.405 -2.247 4.291
1.405 2.247 -4.291
Li Pt W
2 1 1
Direct
0.000 0.000 0.000 Li
0.778 0.278 0.500 Li
0.532 0.532 0.000 Pt
0.268 0.768 0.500 W
```

## Properties
- ΔE to the lowest computed polymorph (meV per atom) = 200
- total magnetic moment (μB/cell) = 0.00
- space group = Imm2 (44)

=====

The following is a DFT calculation (PBE) of an optimized crystal structure of AgSeS.

Cell and atoms, written as POSCAR:
```
AgSeS
1.0
7.753 -1.989 0.000
7.753 1.989 0.000
-1.319 0.000 4.924
Ag Se S
2 2 2
Direct
0.146 0.146 0.269 Ag
0.854 0.854 0.731 Ag
0.407 0.407 0.083 Se
0.593 0.593 0.917 Se
0.334 0.334 0.401 S
0.666 0.666 0.599 S
```

## Properties
- ΔE to the lowest computed polymorph (meV per atom) = 42
- total magnetic moment (μB/cell) = 0.00
- raw formation energy (meV/atom) = 33
- space group = C2/m (12)

=====

The following is a DFT calculation (PBE) of an optimized crystal structure of CsNaS2F.

Cell and atoms, written as POSCAR:
```
CsNaS2F
1.0
4.981 0.000 0.000
0.000 4.981 0.000
0.000 0.000 5.194
Cs Na S F
1 1 2 1
Direct
0.000 0.000 0.000 Cs
0.500 0.500 0.000 Na
0.000 0.500 0.500 S
0.500 0.000 0.500 S
0.000 0.000 0.500 F
```

## Properties
- total magnetic moment (μB/cell) = 0.00
- raw formation energy (meV/atom) = -383
- space group = P4/mmm (123)

=====

The following is a DFT calculation (PBE) of an optimized crystal structure of TaTe4P.

Cell and atoms, written as POSCAR:
```
TaTe4P
1.0
6.566 0.000 0.000
-0.476 7.788 0.000
-1.628 -3.946 7.358
Ta Te P
2 8 2
Direct
0.248 0.001 0.001 Ta
0.752 0.999 0.999 Ta
0.063 0.352 0.148 Te
0.065 0.986 0.278 Te
0.396 0.811 0.673 Te
0.493 0.231 0.895 Te
0.507 0.769 0.105 Te
0.604 0.189 0.327 Te
0.935 0.014 0.722 Te
0.937 0.648 0.852 Te
0.137 0.433 0.483 P
0.863 0.567 0.517 P
```

## Properties
- ΔE to the lowest computed polymorph (meV per atom) = 0
- total magnetic moment (μB/cell) = 0.00
- raw formation energy (meV/atom) = -129
- space group = P-1 (2)

=====

In states/eV per cell, the N(E_F) values for the records above are, in order, 4.8; 21.0; 1.4; 2.6; 3.0; 3.5; 4.3; 2.6; 2.5; 2.1; 1.7.